(1)
# Y4Cu3Hg (PBE-GGA, optimized geometry)
data_Y4Cu3Hg
_chemical_formula_sum 'Y4 Cu3 Hg1'
_cell_length_a 3.5472
_cell_length_b 5.0539
_cell_length_c 10.0213
_cell_angle_alpha 90.00
_cell_angle_beta 90.00
_cell_angle_gamma 90.00
_symmetry_space_group_name_H-M 'P 1'
_symmetry_Int_Tables_number 1
loop_
_symmetry_equiv_pos_as_xyz
'x,y,z'
loop_
_atom_site_label
_atom_site_type_symbol
_atom_site_fract_x
_atom_site_fract_y
_atom_site_fract_z
Y1 Y 0.0000 0.0000 0.0000
Y2 Y 0.0000 0.0000 0.5000
Y3 Y 0.0000 0.5000 0.2371
Y4 Y 0.0000 0.5000 0.7629
Cu1 Cu 0.5000 0.0000 0.2474
Cu2 Cu 0.5000 0.0000 0.7526
Cu3 Cu 0.5000 0.5000 0.0000
Hg1 Hg 0.5000 0.5000 0.5000
# * volume: 22.5 Å³/atom
# * magnetic moment: 0.000 μB/atom
# * DFT formation energy: -0.287 eV/atom
# * DOS(E_F): 6.0 states/eV/cell
# * symmetry: Pmmm



(2)
# Y4CuHg (PBE-GGA, optimized geometry)
data_Y4CuHg
_chemical_formula_sum 'Y4 Cu1 Hg1'
_cell_length_a 6.2271
_cell_length_b 6.2271
_cell_length_c 6.2271
_cell_angle_alpha 60.00
_cell_angle_beta 60.00
_cell_angle_gamma 60.00
_symmetry_space_group_name_H-M 'P 1'
_symmetry_Int_Tables_number 1
loop_
_symmetry_equiv_pos_as_xyz
'x,y,z'
loop_
_atom_site_label
_atom_site_type_symbol
_atom_site_fract_x
_atom_site_fract_y
_atom_site_fract_z
Y1 Y 0.1253 0.1253 0.1253
Y2 Y 0.1253 0.1253 0.6242
Y3 Y 0.1253 0.6242 0.1253
Y4 Y 0.6242 0.1253 0.1253
Cu1 Cu 0.7500 0.7500 0.7500
Hg1 Hg 0.5000 0.5000 0.5000
# * volume: 28.5 Å³/atom
# * magnetic moment: 0.000 μB/atom
# * DFT formation energy: 0.526 eV/atom
# * DOS(E_F): 6.4 states/eV/cell
# * symmetry: F-43m
# * distance to the lowest polymorph of the same formula: 591.7 meV/atom



Look up the DFT formation energy of the first one.
-0.287 eV/atom



Which value of magnetic moment does entry 2 give?
0.000 μB/atom



Which value of volume does entry 1 give?
22.5 Å³/atom



The lowest DFT formation energy belongs to which entry?
Y4Cu3Hg